Entry 1:
Density functional theory data (PBE) for a geometry-optimized SrBiPd2 structure.

Values from the calculation:
The calculation puts the density at 7.841 Mg/m³. Its total energy is -16.6 eV per cell.

a = 4.872 Å, b = 4.872 Å, c = 4.593 Å
α = 90.00°, β = 90.00°, γ = 98.18°
Positions (direct):
Sr: 0.000 0.000 0.000
Bi: 0.500 0.500 0.000
Pd: 0.298 0.702 0.500
Pd: 0.702 0.298 0.500

***

Entry 2:
Density functional theory data (PBE) for a geometry-optimized Sr3Bi4Pd4 structure.

Values from the calculation:
The calculation puts the density at 8.159 Mg/m³. Its total energy is -48.4 eV per cell.

a = 14.094 Å, b = 14.094 Å, c = 14.094 Å
α = 160.92°, β = 160.17°, γ = 27.65°
Positions (direct):
Sr: 0.000 0.000 0.000
Sr: 0.347 0.847 0.500
Sr: 0.653 0.153 0.500
Bi: 0.197 0.697 0.500
Bi: 0.444 0.444 0.000
Bi: 0.556 0.556 0.000
Bi: 0.803 0.303 0.500
Pd: 0.098 0.598 0.500
Pd: 0.251 0.251 0.000
Pd: 0.749 0.749 0.000
Pd: 0.902 0.402 0.500